Density functional theory data (PBE-GGA) for a relaxed Ti2Be9Co crystal.

Output
crystal system	trigonal
size of the total moment	2.76	μB per formula unit
space-group type	No. 166
electronic total energy	-57.599	eV for the cell shown

a = 4.373 Å, b = 4.373 Å, c = 7.483 Å
α = 73.01°, β = 73.01°, γ = 60.00°
Each line ends with the local moment (μB).
Fractional positions:
1 Be 0.919 0.419 0.242  0.01
2 Be 0.419 0.419 0.242  0.01
3 Be 0.500 0.500 0.500  -0.03
4 Be 0.666 0.666 0.002  0.01
5 Be 0.581 0.081 0.758  0.01
6 Be 0.581 0.581 0.758  0.01
7 Be 0.334 0.334 0.998  0.01
8 Be 0.419 0.919 0.242  0.01
9 Be 0.081 0.581 0.758  0.01
10 Ti 0.854 0.854 0.437  0.76
11 Ti 0.146 0.146 0.563  0.76
12 Co 0.000 0.000 0.000  0.85